No. 1
7
Lattice="-1.377 1.377 14.090 1.377 -1.377 14.090 1.377 1.377 -14.090" Properties=species:S:1:pos:R:3 comment="Os3Rh4 | Alexandria via LeMat-Bulk | PBE | relaxed" crystal_system=tetragonal sg="No. 139" total_magnetization_mub_per_cell=0.0 energy_ev_per_cell=-61.02 pbc="T T T"
Os 0.000 0.000 0.000
Os 0.000 0.000 6.223
Os 0.000 0.000 21.956
Rh 0.000 0.000 3.802
Rh 0.000 0.000 12.226
Rh 0.000 0.000 15.953
Rh 0.000 0.000 24.377

***

No. 2
5
Lattice="5.097 0.000 0.000 0.000 5.097 0.000 0.000 0.000 5.097" Properties=species:S:1:pos:R:3 comment="LiSm3C | Alexandria via LeMat-Bulk | PBE | relaxed" crystal_system=cubic sg="No. 221" total_magnetization_mub_per_cell=0.0 energy_ev_per_cell=-25.11 pbc="T T T"
Li 0.000 0.000 0.000
Sm 0.000 2.548 2.548
Sm 2.548 0.000 2.548
Sm 2.548 2.548 0.000
C 2.548 2.548 2.548

***

No. 3
5
Lattice="4.730 0.000 0.000 0.000 4.730 0.000 0.000 0.000 4.730" Properties=species:S:1:pos:R:3 comment="Re3AgIr | Alexandria via LeMat-Bulk | PBE | relaxed" crystal_system=cubic sg="No. 221" total_magnetization_mub_per_cell=1.7 energy_ev_per_cell=-37.82 pbc="T T T"
Re 0.000 0.000 2.365
Re 0.000 2.365 0.000
Re 2.365 0.000 0.000
Ag 2.365 2.365 2.365
Ir 0.000 0.000 0.000

***

No. 4
5
Lattice="5.734 0.000 0.000 0.000 5.734 0.000 0.000 0.000 5.734" Properties=species:S:1:pos:R:3 comment="CsMgIn3 | Alexandria via LeMat-Bulk | PBE | relaxed" crystal_system=cubic sg="No. 221" total_magnetization_mub_per_cell=0.0 energy_ev_per_cell=-9.91 pbc="T T T"
Cs 0.000 0.000 0.000
Mg 2.867 2.867 2.867
In 0.000 2.867 2.867
In 2.867 0.000 2.867
In 2.867 2.867 0.000

***

No. 5
6
Lattice="3.000 0.000 0.000 0.000 3.000 0.000 0.000 0.000 9.476" Properties=species:S:1:pos:R:3 comment="Ga3Ir2Rh | Alexandria via LeMat-Bulk | PBE | relaxed" crystal_system=tetragonal sg="No. 123" total_magnetization_mub_per_cell=0.0 energy_ev_per_cell=-37.10 pbc="T T T"
Ga 0.000 0.000 0.000
Ga 0.000 0.000 3.184
Ga 0.000 0.000 6.292
Ir 1.500 1.500 1.593
Ir 1.500 1.500 7.883
Rh 1.500 1.500 4.738

***

No. 6
8
Lattice="-3.801 3.801 2.738 3.801 -3.801 2.738 3.801 3.801 -2.738" Properties=species:S:1:pos:R:3 comment="Sc2AlRu | Alexandria via LeMat-Bulk | PBE | relaxed" crystal_system=tetragonal sg="No. 122" total_magnetization_mub_per_cell=0.0 energy_ev_per_cell=-51.98 pbc="T T T"
Sc 5.702 1.496 -0.684
Sc 1.496 1.901 0.684
Sc -1.901 2.306 2.053
Sc 2.306 1.901 3.422
Al 3.801 0.000 1.369
Al 0.000 0.000 2.738
Ru 0.000 0.000 0.000
Ru 0.000 3.801 1.369

***

No. 7
16
Lattice="11.570 0.000 0.000 0.000 7.322 0.000 0.000 0.000 6.324" Properties=species:S:1:pos:R:3 comment="Tb4Pm3Sm | Alexandria via LeMat-Bulk | PBE | relaxed" crystal_system=orthorhombic sg="No. 31" total_magnetization_mub_per_cell=0.0 energy_ev_per_cell=-74.58 pbc="T T T"
Tb 0.000 0.901 6.323
Tb 0.000 6.424 3.162
Tb 2.895 0.901 2.101
Tb 2.890 6.422 5.263
Tb 5.785 0.899 0.000
Tb 5.785 6.421 3.161
Tb 8.675 0.901 2.101
Tb 8.680 6.422 5.263
Pm 0.000 2.735 3.158
Pm 2.891 2.734 5.266
Pm 2.893 4.589 2.104
Pm 5.785 4.587 6.320
Pm 8.678 2.734 5.266
Pm 8.676 4.589 2.104
Sm 0.000 4.592 6.321
Sm 5.785 2.730 3.159

***

No. 8
5
Lattice="4.622 0.000 0.000 0.000 4.622 0.000 0.000 0.000 4.757" Properties=species:S:1:pos:R:3 comment="CoSbRh2Cl | Alexandria via LeMat-Bulk | PBE | relaxed" crystal_system=tetragonal sg="No. 123" raw_formation_energy_ev_per_atom=0.857 total_magnetization_mub_per_cell=2.6 energy_ev_per_cell=-23.49 pbc="T T T"
Co 0.000 0.000 0.000
Sb 0.000 0.000 2.378
Rh 0.000 2.311 0.000
Rh 2.311 0.000 0.000
Cl 2.311 2.311 2.378

***

No. 9
4
Lattice="0.000 3.267 3.267 3.267 0.000 3.267 3.267 3.267 0.000" Properties=species:S:1:pos:R:3 comment="Cd2RuPt | Alexandria via LeMat-Bulk | PBE | relaxed" crystal_system=cubic sg="No. 216" total_magnetization_mub_per_cell=1.3 energy_ev_per_cell=-16.34 pbc="T T T"
Cd 0.000 0.000 0.000
Cd 1.633 1.633 1.633
Ru 4.900 4.900 4.900
Pt 3.267 3.267 3.267

***

No. 10
9
Lattice="-3.486 3.486 4.346 3.486 -3.486 4.346 3.486 3.486 -4.346" Properties=species:S:1:pos:R:3 comment="Tb2Y2Al4Cu | Alexandria via LeMat-Bulk | PBE | relaxed" crystal_system=tetragonal sg="No. 139" total_magnetization_mub_per_cell=0.0 energy_ev_per_cell=-43.16 pbc="T T T"
Tb 0.000 0.000 1.691
Tb 0.000 0.000 7.001
Y 3.486 0.000 2.173
Y 0.000 3.486 2.173
Al 1.827 1.827 0.000
Al 1.659 -1.659 4.346
Al -1.659 1.659 4.346
Al 1.659 1.659 4.346
Cu 0.000 0.000 4.346

***

No. 11
4
Lattice="1.560 0.901 10.832 -1.560 0.901 10.832 0.000 -1.802 10.832" Properties=species:S:1:pos:R:3 comment="Lu2TaZn | Alexandria via LeMat-Bulk | PBE | relaxed" crystal_system=trigonal sg="No. 166" total_magnetization_mub_per_cell=0.0 energy_ev_per_cell=-20.25 pbc="T T T"
Lu 0.000 0.000 3.001
Lu 0.000 0.000 29.496
Ta 0.000 0.000 0.000
Zn 0.000 0.000 16.249

***

No. 12
10
Lattice="7.516 0.000 0.000 0.000 7.516 0.000 0.000 0.000 4.987" Properties=species:S:1:pos:R:3 comment="K2AgSe2 | Alexandria via LeMat-Bulk | PBE | relaxed" crystal_system=tetragonal sg="No. 127" raw_formation_energy_ev_per_atom=-0.624 total_magnetization_mub_per_cell=0.0 energy_ev_per_cell=-30.27 pbc="T T T"
K 1.119 2.639 0.000
K 2.639 6.397 0.000
K 4.877 1.119 0.000
K 6.397 4.877 0.000
Ag 0.000 0.000 2.493
Ag 3.758 3.758 2.493
Se 1.235 4.993 2.493
Se 2.523 1.235 2.493
Se 4.993 6.281 2.493
Se 6.281 2.523 2.493

***

No. 13
14
Lattice="4.286 2.474 7.011 -4.286 2.474 7.011 0.000 -4.949 7.011" Properties=species:S:1:pos:R:3 comment="NdSm4ErSe8 | Alexandria via LeMat-Bulk | PBE | relaxed" crystal_system=trigonal sg="No. 160" raw_formation_energy_ev_per_atom=-1.723 total_magnetization_mub_per_cell=0.0 energy_ev_per_cell=-80.21 pbc="T T T"
Nd 0.000 0.000 0.000
Sm 0.000 2.498 17.490
Sm 2.164 -1.249 17.490
Sm -2.164 -1.249 17.490
Sm 0.000 0.000 13.123
Er 0.000 0.000 7.853
Se -2.265 -1.308 12.163
Se 0.000 0.000 5.132
Se 0.000 -2.542 8.790
Se -2.202 1.271 8.790
Se 2.265 -1.308 12.163
Se 0.000 2.616 12.163
Se 0.000 0.000 15.920
Se 2.202 1.271 8.790

***

Looking at N(E_F) for the records above, in order, we have 8.80 5.51 5.88 4.80 2.29 8.86 28.40 6.10 5.01 7.74 5.50 3.19 8.44 states/eV per cell.